[1]
VASP calculation (PBE) on a relaxed structure of BiMoRu3.

Unit cell a=4.837 b=4.837 c=4.837 alpha=90.00 beta=90.00 gamma=90.00
Last column: magnetic moment on the atom in μB.
Fractional positions:
Ru 0.000 0.500 0.000  0.64
Ru 0.500 0.000 0.000  0.49
Mo 0.500 0.500 0.500  -0.28
Ru 0.000 0.000 0.500  0.76
Bi 0.000 0.000 0.000  -0.04

Output
- ΔE to the lowest computed polymorph: 1201 meV per atom
- Crystal system: cubic
- M_tot: 1.517 μB/f.u.
- Calculated formation energy: 2512 meV/atom
- Space-group type: No. 221

---

[2]
VASP calculation (PBE) on a relaxed structure of LaGaBr3.

Unit cell a=5.885 b=5.885 c=5.885 alpha=90.00 beta=90.00 gamma=90.00
Last column: magnetic moment on the atom in μB.
Fractional positions:
Br 0.000 0.000 0.500  0.01
Ga 0.500 0.500 0.500  0.18
Br 0.500 0.000 0.000  -0.01
Br 0.000 0.500 0.000  0.00
La 0.000 0.000 0.000  0.19

Output
- ΔE to the lowest computed polymorph: 0 meV per atom
- Crystal system: cubic
- M_tot: 1.000 μB/f.u.
- Energy relative to the elements, uncorrected: -1.115 eV/atom
- Space-group type: No. 221

---

[3]
VASP calculation (PBE) on a relaxed structure of LiP2Br.

Unit cell a=6.693 b=6.693 c=6.693 alpha=152.12 beta=98.86 gamma=87.82
Fractional positions:
Br 0.423 0.423 0.000
P 0.851 0.351 0.500
Li 0.234 0.734 0.500
P 0.992 0.992 0.000

Output
- ΔE to the lowest computed polymorph: 167 meV per atom
- Crystal system: orthorhombic
- M_tot: 0.000 μB/f.u.
- Energy relative to the elements, uncorrected: -0.332 eV/atom
- Space-group type: No. 44

---

[4]
VASP calculation (PBE) on a relaxed structure of Tc2PbI.

Unit cell a=6.304 b=6.304 c=7.100 alpha=63.64 beta=63.64 gamma=90.00
Fractional positions:
Tc 0.604 0.125 0.250
Tc 0.146 0.625 0.250
Pb 0.750 0.250 0.500
I 0.500 0.500 0.000
Tc 0.875 0.854 0.750
I 0.250 0.750 0.500
Tc 0.375 0.396 0.750
Pb 0.000 0.000 0.000

Output
- ΔE to the lowest computed polymorph: 429 meV per atom
- Crystal system: tetragonal
- M_tot: 0.000 μB/f.u.
- Energy relative to the elements, uncorrected: 1.405 eV/atom
- Space-group type: No. 122

---

[5]
VASP calculation (PBE) on a relaxed structure of Ca2Co5Ge4.

Unit cell a=5.433 b=5.474 c=7.363 alpha=79.45 beta=68.35 gamma=60.25
Fractional positions:
Co 0.500 0.000 0.000
Ca 0.129 0.000 0.742
Co 0.500 0.500 0.000
Co 0.750 0.500 0.500
Ge 0.529 0.684 0.259
Co 0.000 0.500 0.000
Ca 0.871 0.000 0.258
Ge 0.213 0.316 0.259
Ge 0.471 0.316 0.741
Ge 0.787 0.684 0.741
Co 0.250 0.500 0.500

Output
- Crystal system: orthorhombic
- M_tot: 0.000 μB/f.u.
- Calculated formation energy: -348 meV/atom
- Space-group type: No. 69

---

[6]
VASP calculation (PBE) on a relaxed structure of BaSr2Hf.

Unit cell a=3.708 b=3.708 c=13.995 alpha=82.39 beta=82.39 gamma=60.00
Last column: magnetic moment on the atom in μB.
Fractional positions:
Hf 0.000 0.000 0.000  0.52
Sr 0.921 0.921 0.237  0.02
Sr 0.079 0.079 0.763  0.02
Ba 0.500 0.500 0.500  -0.04

Output
- ΔE to the lowest computed polymorph: 141 meV per atom
- Crystal system: trigonal
- M_tot: 0.756 μB/f.u.
- Calculated formation energy: 784 meV/atom
- Space-group type: No. 166

---

Q: M_tot of number 2 (LaGaBr3)?
A: 1.000 μB/f.u.